# 1
# LaPt3Se | Alexandria via LeMat-Bulk | PBE-GGA | relaxed
data_LaPt3Se
_symmetry_space_group_name_H-M 'P 1'
_symmetry_Int_Tables_number 1
_symmetry_space_group_name_Hall 'P 1'
_cell_length_a 4.811
_cell_length_b 4.811
_cell_length_c 4.811
_cell_angle_alpha 90.00
_cell_angle_beta 90.00
_cell_angle_gamma 90.00
loop_
_atom_site_label
_atom_site_fract_x
_atom_site_fract_y
_atom_site_fract_z
Se1 0.000 0.000 0.000
Pt1 0.000 0.500 0.000
Pt2 0.000 0.000 0.500
Pt3 0.500 0.000 0.000
La1 0.500 0.500 0.500
# **Final energy**: -5.68 eV per atom
# **ΔE_f (raw)**: -373 meV per atom
# **Offset from the most stable computed form**: 0 meV per atom
# **D(E_F)**: 0.569 states/eV/atom

***

# 2
# LaPtSe2 | Alexandria via LeMat-Bulk | PBE-GGA | relaxed
data_LaPtSe2
_symmetry_space_group_name_H-M 'P 1'
_symmetry_Int_Tables_number 1
_symmetry_space_group_name_Hall 'P 1'
_cell_length_a 4.988
_cell_length_b 4.988
_cell_length_c 4.988
_cell_angle_alpha 60.00
_cell_angle_beta 60.00
_cell_angle_gamma 60.00
loop_
_atom_site_label
_atom_site_fract_x
_atom_site_fract_y
_atom_site_fract_z
Se1 0.250 0.250 0.250
Se2 0.750 0.750 0.750
Pt1 0.500 0.500 0.500
La1 0.000 0.000 0.000
# **Final energy**: -5.32 eV per atom
# **ΔE_f (raw)**: -837 meV per atom
# **Offset from the most stable computed form**: 355 meV per atom
# **D(E_F)**: 1.319 states/eV/atom

***

# 3
# LaPtSe2 | Alexandria via LeMat-Bulk | PBE-GGA | relaxed
data_LaPtSe2
_symmetry_space_group_name_H-M 'P 1'
_symmetry_Int_Tables_number 1
_symmetry_space_group_name_Hall 'P 1'
_cell_length_a 4.733
_cell_length_b 4.737
_cell_length_c 3.820
_cell_angle_alpha 90.00
_cell_angle_beta 90.00
_cell_angle_gamma 90.00
loop_
_atom_site_label
_atom_site_fract_x
_atom_site_fract_y
_atom_site_fract_z
La1 0.500 0.000 0.500
Pt1 0.000 0.500 0.500
Se1 0.000 0.000 0.000
Se2 0.500 0.500 0.000
# **Final energy**: -5.47 eV per atom
# **ΔE_f (raw)**: -983 meV per atom
# **Offset from the most stable computed form**: 210 meV per atom
# **D(E_F)**: 0.612 states/eV/atom

***

# 4
# LaPtSe2 | Alexandria via LeMat-Bulk | PBE-GGA | relaxed
data_LaPtSe2
_symmetry_space_group_name_H-M 'P 1'
_symmetry_Int_Tables_number 1
_symmetry_space_group_name_Hall 'P 1'
_cell_length_a 3.814
_cell_length_b 3.949
_cell_length_c 6.418
_cell_angle_alpha 88.18
_cell_angle_beta 90.00
_cell_angle_gamma 90.00
loop_
_atom_site_label
_atom_site_fract_x
_atom_site_fract_y
_atom_site_fract_z
La1 0.500 0.250 0.250
Pt1 0.500 0.750 0.750
Se1 0.000 0.759 0.006
Se2 0.000 0.741 0.494
# **Final energy**: -5.56 eV per atom
# **ΔE_f (raw)**: -1072 meV per atom
# **Offset from the most stable computed form**: 121 meV per atom
# **D(E_F)**: 0.396 states/eV/atom

***

# 5
# La2Pt2Se | Alexandria via LeMat-Bulk | PBE-GGA | relaxed
data_La2Pt2Se
_symmetry_space_group_name_H-M 'P 1'
_symmetry_Int_Tables_number 1
_symmetry_space_group_name_Hall 'P 1'
_cell_length_a 3.967
_cell_length_b 3.967
_cell_length_c 8.456
_cell_angle_alpha 76.43
_cell_angle_beta 76.43
_cell_angle_gamma 90.00
loop_
_atom_site_label
_atom_site_fract_x
_atom_site_fract_y
_atom_site_fract_z
Se1 0.000 0.000 0.000
Pt1 0.750 0.250 0.500
Pt2 0.250 0.750 0.500
La1 0.385 0.385 0.231
La2 0.615 0.615 0.769
# **Final energy**: -6.38 eV per atom
# **ΔE_f (raw)**: -1296 meV per atom
# **Offset from the most stable computed form**: 0 meV per atom
# **D(E_F)**: 0.510 states/eV/atom

***

# 6
# La2Pt2Se | Alexandria via LeMat-Bulk | PBE-GGA | relaxed
data_La2Pt2Se
_symmetry_space_group_name_H-M 'P 1'
_symmetry_Int_Tables_number 1
_symmetry_space_group_name_Hall 'P 1'
_cell_length_a 7.996
_cell_length_b 7.996
_cell_length_c 3.823
_cell_angle_alpha 90.00
_cell_angle_beta 90.00
_cell_angle_gamma 90.00
loop_
_atom_site_label
_atom_site_fract_x
_atom_site_fract_y
_atom_site_fract_z
Se1 0.000 0.000 0.000
Se2 0.500 0.500 0.000
Pt1 0.378 0.878 0.000
Pt2 0.878 0.622 0.000
Pt3 0.622 0.122 0.000
Pt4 0.122 0.378 0.000
La1 0.181 0.681 0.500
La2 0.681 0.819 0.500
La3 0.819 0.319 0.500
La4 0.319 0.181 0.500
# **Final energy**: -6.34 eV per atom
# **ΔE_f (raw)**: -1254 meV per atom
# **Offset from the most stable computed form**: 42 meV per atom
# **D(E_F)**: 0.314 states/eV/atom